1.
Density functional theory data (PBE-GGA) for Ta4SiPN2 after structural relaxation.

Values from the calculation:
DFT total energy ... -10.021 eV per atom
Density ... 12.61 g/cm3

abc: 3.1778 3.1778 12.2057
angles: 90.00 90.00 120.00
Last column: nearest neighbours and their distance in Å.
Fractional positions:
Ta  0.0000  0.0000  0.1418  3 N 2.23
Ta  0.0000  0.0000  0.8582  3 N 2.23
Ta  0.3333  0.6667  0.3446  3 N 2.19
Ta  0.3333  0.6667  0.6554  3 N 2.19
Si  0.0000  0.0000  0.5000  6 Ta 2.64
P  0.3333  0.6667  0.0000  6 Ta 2.52
N  0.6667  0.3333  0.2462  6 Ta 2.19-2.23
N  0.6667  0.3333  0.7538  6 Ta 2.19-2.23

2.
Density functional theory data (PBE-GGA) for BaYTe3Au after structural relaxation.

Values from the calculation:
DFT total energy ... -4.741 eV per atom
Density ... 6.79 g/cm3

abc: 8.6500 4.4230 10.7875
angles: 90.00 107.34 90.00
Last column: nearest neighbours and their distance in Å.
Fractional positions:
Ba  0.2416  0.2500  0.2937  6 Te 3.48
Ba  0.7584  0.7500  0.7063  6 Te 3.48
Y  0.3088  0.7500  0.8380  6 Te 3.04-3.10
Y  0.6912  0.2500  0.1620  6 Te 3.04-3.10
Te  0.0681  0.2500  0.8574  1 Au 2.77, 2 Y 3.09
Te  0.2698  0.7500  0.5484  3 Au 2.88-3.06, 1 Y 3.04
Te  0.4336  0.7500  0.1387  3 Y 3.10
Te  0.5664  0.2500  0.8613  3 Y 3.10
Te  0.7302  0.2500  0.4516  3 Au 2.88-3.06, 1 Y 3.04
Te  0.9319  0.7500  0.1426  1 Au 2.77, 2 Y 3.09
Au  0.0892  0.2500  0.6063  4 Te 2.77-3.06
Au  0.9108  0.7500  0.3937  4 Te 2.77-3.06